This record from Alexandria via LeMat-Bulk describes crystalline La3TcHg at its relaxed geometry. The functional is GGA-PBE.

D(E_F): 4.70 states/eV/f.u.
DFT total energy: -5.30 eV/atom
volume: 1150.4 Å³ per cell

abc: 6.8184 10.3732 16.2655
angles: 90.00 90.00 90.00
Space group Fmmm (No. 69)
Asymmetric unit:
La 0.0000 0.0000 0.1992 x8
La 0.0000 0.1956 0.3901 x16
Tc 0.2500 0.2500 0.2500 x8
Hg 0.2108 0.0000 0.0000 x8